CaMn3Al9, relaxed, DFT PBE; crystal system = monoclinic; formation energy = -258 meV/atom
1.0
2.576 -6.366 0.000
2.576 6.366 0.000
-2.464 0.000 6.272
Ca Mn Al
1 3 9
Direct
0.000 0.000 0.000
0.000 0.500 0.000
0.500 0.000 0.000
0.500 0.500 0.500
0.000 0.000 0.500
0.004 0.654 0.667
0.286 0.518 0.780
0.346 0.996 0.333
0.482 0.714 0.220
0.518 0.286 0.780
0.654 0.004 0.667
0.714 0.482 0.220
0.996 0.346 0.333